La2ZnCu6Ni | GGA-PBE | relaxed

Calculated values
V = 175.6 Å³ per cell
Final energy = -4.270 eV per atom
E_form = -0.121 eV per atom

a b c (Å): 6.1298 6.4372 6.1678
angles (deg): 58.33 63.10 89.89
Closest atoms and distances in Å follow each position.
Sites, in units of the cell vectors:
1 Cu 0.1813 0.6601 0.2264  1 Ni 2.42, 1 Zn 2.48, 5 Cu 2.54-2.57
2 Cu 0.8863 0.8190 0.5199  1 Ni 2.42, 1 Zn 2.49, 5 Cu 2.55-2.56
3 La 0.3198 0.6808 0.6383  1 Ni 2.65
4 La 0.6802 0.3192 0.3617  1 Ni 2.65
5 Ni 0.5000 0.5000 0.0000  6 Cu 2.42, 2 La 2.65
6 Cu 0.1137 0.1810 0.4801  1 Ni 2.42, 1 Zn 2.49, 5 Cu 2.55-2.56
7 Cu 0.3388 0.1137 0.0684  1 Ni 2.42, 1 Zn 2.48, 5 Cu 2.54-2.57
8 Cu 0.8187 0.3399 0.7736  1 Ni 2.42, 1 Zn 2.48, 5 Cu 2.54-2.57
9 Zn 0.0000 0.0000 0.0000  6 Cu 2.48-2.49
10 Cu 0.6612 0.8863 0.9316  1 Ni 2.42, 1 Zn 2.48, 5 Cu 2.54-2.57


LaZnCu2Ni2 | GGA-PBE | relaxed

Calculated values
V = 107.2 Å³ per cell
Final energy = -4.158 eV per atom
E_form = 0.168 eV per atom

a b c (Å): 4.4102 4.4102 5.5098
angles (deg): 90.00 90.00 90.00
Closest atoms and distances in Å follow each position.
Sites, in units of the cell vectors:
1 Cu 0.5000 0.5000 0.7549  4 Ni 2.59, 2 Cu 2.70-2.81
2 Ni 0.5000 0.0000 0.0000  2 Zn 2.21
3 La 0.0000 0.0000 0.5000  2 Zn 2.75
4 Zn 0.0000 0.0000 0.0000  4 Ni 2.21
5 Cu 0.5000 0.5000 0.2451  4 Ni 2.59, 2 Cu 2.70-2.81
6 Ni 0.0000 0.5000 0.0000  2 Zn 2.21


LaZn2CuNi | GGA-PBE | relaxed

Calculated values
V = 90.2 Å³ per cell
Final energy = -3.735 eV per atom
Distance to the lowest polymorph of the same formula = 0.0 meV per atom
E_form = -0.264 eV per atom

a b c (Å): 4.1339 4.0527 6.1138
angles (deg): 109.36 109.76 90.00
Closest atoms and distances in Å follow each position.
Sites, in units of the cell vectors:
1 La 0.4311 0.4311 0.8622  4 Ni 3.09, 6 Zn 3.20-3.27, 2 Cu 3.23
2 Ni 0.8305 0.8305 0.6610  3 Zn 2.44-2.49, 2 Cu 2.51
3 Cu 0.1976 0.6976 0.3952  2 Ni 2.51, 2 Zn 2.53
4 Zn 0.0573 0.0573 0.1146  1 Ni 2.44, 2 Cu 2.53, 2 Zn 2.55
5 Zn 0.6956 0.1956 0.3912  2 Ni 2.49, 2 Zn 2.55


La2Zn3Cu12Ni | GGA-PBE | relaxed

Calculated values
V = 297.7 Å³ per cell
Final energy = -3.702 eV per atom
E_form = 0.110 eV per atom

a b c (Å): 9.5557 9.5557 9.5557
angles (deg): 38.06 38.06 38.06
Closest atoms and distances in Å follow each position.
Sites, in units of the cell vectors:
1 Zn 0.5000 0.0000 0.0000  6 Cu 2.42-2.55
2 Cu 0.5799 0.1911 0.5799  2 Zn 2.42, 4 Cu 2.42-2.47
3 Cu 0.9347 0.9347 0.3452  1 Ni 2.41, 4 Cu 2.47-2.56, 1 Zn 2.55
4 Cu 0.9347 0.3452 0.9347  1 Ni 2.41, 4 Cu 2.47-2.56, 1 Zn 2.55
5 Ni 0.0000 0.0000 0.0000  6 Cu 2.41
6 Cu 0.0653 0.0653 0.6548  1 Ni 2.41, 4 Cu 2.47-2.56, 1 Zn 2.55
7 Zn 0.0000 0.5000 0.0000  6 Cu 2.42-2.55
8 Cu 0.4201 0.8089 0.4201  2 Zn 2.42, 4 Cu 2.42-2.47
9 Cu 0.1911 0.5799 0.5799  2 Zn 2.42, 4 Cu 2.42-2.47
10 Cu 0.3452 0.9347 0.9347  1 Ni 2.41, 4 Cu 2.47-2.56, 1 Zn 2.55
11 Cu 0.6548 0.0653 0.0653  1 Ni 2.41, 4 Cu 2.47-2.56, 1 Zn 2.55
12 Cu 0.0653 0.6548 0.0653  1 Ni 2.41, 4 Cu 2.47-2.56, 1 Zn 2.55
13 Cu 0.4201 0.4201 0.8089  2 Zn 2.42, 4 Cu 2.42-2.47
14 La 0.6537 0.6537 0.6537  6 Cu 3.09-3.10
15 Cu 0.8089 0.4201 0.4201  2 Zn 2.42, 4 Cu 2.42-2.47
16 Zn 0.0000 0.0000 0.5000  6 Cu 2.42-2.55
17 La 0.3463 0.3463 0.3463  6 Cu 3.09-3.10
18 Cu 0.5799 0.5799 0.1911  2 Zn 2.42, 4 Cu 2.42-2.47